*a*
Na3BiO3 at its PBEsol-relaxed geometry, computed with meta-GGA SCAN.

Cell lengths 10.0566, 9.9404, 11.7366 Å; angles 73.55, 64.93, 95.66 degrees
Closest atoms and distances in Å follow each position.
Fractional positions:
Na1 0.5680 0.9153 0.9132  4 O 2.24-2.34
Na2 0.6199 0.9260 0.5023  4 O 2.29-2.34
Na3 0.1573 0.9717 0.4178  4 O 2.31-2.50
Na4 0.4199 0.8421 0.3274  4 O 2.29-2.40
Na5 0.6275 0.6930 0.7652  4 O 2.35-2.50
Na6 0.9056 0.6972 0.5567  4 O 2.29-2.37
Na7 0.1316 0.6882 0.6438  5 O 2.33-2.49
Na8 0.7517 0.5196 0.9294  4 O 2.29-2.41
Na9 0.4410 0.6027 0.6066  6 O 2.44-2.60
Na10 0.1231 0.4758 0.8862  4 O 2.28-2.39
Na11 0.5276 0.6452 0.1494  4 O 2.30-2.48
Na12 0.7179 0.4704 0.5521  5 O 2.32-2.42
Na13 0.2821 0.5296 0.4479  5 O 2.32-2.42
Na14 0.4724 0.3548 0.8506  4 O 2.30-2.48
Na15 0.8769 0.5242 0.1138  4 O 2.28-2.39
Na16 0.5590 0.3973 0.3934  6 O 2.44-2.60
Na17 0.2483 0.4804 0.0706  4 O 2.29-2.41
Na18 0.8684 0.3118 0.3562  5 O 2.33-2.49
Na19 0.0944 0.3028 0.4433  4 O 2.29-2.37
Na20 0.3725 0.3070 0.2348  4 O 2.35-2.50
Na21 0.5801 0.1579 0.6726  4 O 2.29-2.40
Na22 0.8427 0.0283 0.5822  4 O 2.31-2.50
Na23 0.3801 0.0740 0.4977  4 O 2.29-2.34
Na24 0.4320 0.0847 0.0868  4 O 2.24-2.34
Bi1 0.9261 0.8434 0.8346  3 O 2.07-2.09
Bi2 0.3328 0.8094 0.7913  3 O 2.09-2.13
Bi3 0.7589 0.7347 0.3036  3 O 2.06-2.09
Bi4 0.1837 0.7082 0.2385  3 O 2.06-2.11
Bi5 0.8163 0.2918 0.7615  3 O 2.06-2.11
Bi6 0.2411 0.2653 0.6964  3 O 2.06-2.09
Bi7 0.6672 0.1906 0.2087  3 O 2.09-2.13
Bi8 0.0739 0.1566 0.1654  3 O 2.07-2.09
O1 0.5634 0.9160 0.7154  1 Bi 2.13, 4 Na 2.29-2.35
O2 0.9708 0.8623 0.6399  1 Bi 2.08, 3 Na 2.30-2.32
O3 0.3576 0.8310 0.6009  1 Bi 2.09, 2 Na 2.31-2.33
O4 0.6985 0.7395 0.9236  1 Bi 2.07, 3 Na 2.29-2.30
O5 0.9944 0.6522 0.8812  1 Bi 2.09, 2 Na 2.28-2.34
O6 0.4002 0.8402 0.1325  1 Bi 2.06, 2 Na 2.24-2.29
O7 0.3661 0.6007 0.8404  1 Bi 2.09, 1 Na 2.31
O8 0.7144 0.7231 0.4972  1 Bi 2.09, 2 Na 2.32
O9 0.1575 0.7242 0.4210  1 Bi 2.10, 1 Na 2.29
O10 0.5348 0.6542 0.3512  1 Bi 2.09, 2 Na 2.30-2.33
O11 0.7429 0.4845 0.7430  1 Bi 2.11, 1 Na 2.35
O12 0.1872 0.4627 0.6792  1 Bi 2.06, 1 Na 2.28
O13 0.8128 0.5373 0.3208  1 Bi 2.06, 1 Na 2.28
O14 0.2571 0.5155 0.2570  1 Bi 2.11, 1 Na 2.35
O15 0.4652 0.3458 0.6488  1 Bi 2.09, 2 Na 2.30-2.33
O16 0.8425 0.2758 0.5790  1 Bi 2.10, 1 Na 2.29
O17 0.2856 0.2769 0.5028  1 Bi 2.09, 2 Na 2.32
O18 0.6339 0.3993 0.1596  1 Bi 2.09, 1 Na 2.31
O19 0.5998 0.1598 0.8675  1 Bi 2.06, 2 Na 2.24-2.29
O20 0.0056 0.3478 0.1188  1 Bi 2.09, 2 Na 2.28-2.34
O21 0.3015 0.2605 0.0764  1 Bi 2.07, 3 Na 2.29-2.30
O22 0.6424 0.1690 0.3991  1 Bi 2.09, 2 Na 2.31-2.33
O23 0.0292 0.1377 0.3601  1 Bi 2.08, 3 Na 2.30-2.32
O24 0.4366 0.0840 0.2846  1 Bi 2.13, 4 Na 2.29-2.35

Computed properties:
Space-group type: P-1

*b*
Na3BiO3 at its PBEsol-relaxed geometry, computed with meta-GGA SCAN.

Cell lengths 8.3419, 8.3419, 8.3419 Å; angles 109.47, 109.47, 109.47 degrees
Closest atoms and distances in Å follow each position.
Fractional positions:
Na1 0.7531 0.4750 0.4750  5 O 2.33-2.46
Na2 0.2781 0.5250 0.0000  5 O 2.33-2.46
Na3 0.2781 0.0000 0.5250  5 O 2.33-2.46
Na4 0.0000 0.2781 0.5250  5 O 2.33-2.46
Na5 0.0000 0.5250 0.2781  5 O 2.33-2.46
Na6 0.2469 0.7219 0.7219  5 O 2.33-2.46
Na7 0.5250 0.2781 0.0000  5 O 2.33-2.46
Na8 0.4750 0.4750 0.7531  5 O 2.33-2.46
Na9 0.7219 0.2469 0.7219  5 O 2.33-2.46
Na10 0.4750 0.7531 0.4750  5 O 2.33-2.46
Na11 0.5250 0.0000 0.2781  5 O 2.33-2.46
Na12 0.7219 0.7219 0.2469  5 O 2.33-2.46
Bi1 0.0000 0.0000 0.7181  3 O 2.08
Bi2 0.0000 0.7181 0.0000  3 O 2.08
Bi3 0.7181 0.0000 0.0000  3 O 2.08
Bi4 0.2819 0.2819 0.2819  3 O 2.08
O1 0.5163 0.0000 0.7711  1 Bi 2.08
O2 0.7452 0.2289 0.2289  1 Bi 2.08
O3 0.5163 0.7711 0.0000  1 Bi 2.08
O4 0.4837 0.4837 0.2548  1 Bi 2.08
O5 0.2289 0.7452 0.2289  1 Bi 2.08
O6 0.4837 0.2548 0.4837  1 Bi 2.08
O7 0.7711 0.0000 0.5163  1 Bi 2.08
O8 0.2289 0.2289 0.7452  1 Bi 2.08
O9 0.0000 0.7711 0.5163  1 Bi 2.08
O10 0.7711 0.5163 0.0000  1 Bi 2.08
O11 0.2548 0.4837 0.4837  1 Bi 2.08
O12 0.0000 0.5163 0.7711  1 Bi 2.08

Computed properties:
Space-group type: I-43m

Verdict on stability: *b* comes out on top.